No. 1
Here is a relaxed InPb2W crystal from Alexandria via LeMat-Bulk. Energies are from PBEsol.

DFT formation energy   0.642 eV per atom
Crystal system   orthorhombic
V   24.14 A^3/atom
Energy   -5.55 eV per atom
Space group   No. 65

a = 3.068 Å, b = 3.068 Å, c = 10.718 Å
α = 90.00°, β = 90.00°, γ = 106.80°
Positions (direct):
In: 0.500 0.500 0.000
Pb: 0.000 0.000 0.288
Pb: 0.000 0.000 0.712
W: 0.500 0.500 0.500

No. 2
Here is a relaxed InPbW2 crystal from Alexandria via LeMat-Bulk. Energies are from PBEsol.

DFT formation energy   1.102 eV per atom
Crystal system   tetragonal
V   18.36 A^3/atom
Energy   -7.55 eV per atom
Energy above the most stable polymorph in this dataset   522.6 meV per atom
Space group   No. 123

a = 3.332 Å, b = 3.332 Å, c = 6.616 Å
α = 90.00°, β = 90.00°, γ = 90.00°
Positions (direct):
In: 0.500 0.500 0.000
Pb: 0.500 0.500 0.500
W: 0.000 0.000 0.763
W: 0.000 0.000 0.237

No. 3
Here is a relaxed YInPb2 crystal from Alexandria via LeMat-Bulk. Energies are from PBEsol.

DFT formation energy   -0.249 eV per atom
Crystal system   tetragonal
V   27.13 A^3/atom
Energy   -4.70 eV per atom
Space group   No. 99

a = 4.136 Å, b = 4.136 Å, c = 6.344 Å
α = 90.00°, β = 90.00°, γ = 90.00°
Positions (direct):
In: 0.500 0.500 0.752
Pb: 0.000 0.000 0.992
Pb: 0.500 0.500 0.262
Y: 0.000 0.000 0.494

No. 4
Here is a relaxed YIn2Pb crystal from Alexandria via LeMat-Bulk. Energies are from PBEsol.

DFT formation energy   -0.388 eV per atom
Crystal system   tetragonal
V   25.06 A^3/atom
Energy   -4.58 eV per atom
Space group   No. 119

a = 4.477 Å, b = 4.477 Å, c = 5.918 Å
α = 112.23°, β = 112.23°, γ = 90.00°
Positions (direct):
Pb: 0.500 0.500 0.000
Y: 0.750 0.250 0.500
In: 0.000 0.000 0.000
In: 0.250 0.750 0.500

No. 5
Here is a relaxed YIn2Pb crystal from Alexandria via LeMat-Bulk. Energies are from PBEsol.

DFT formation energy   -0.401 eV per atom
Crystal system   tetragonal
V   24.80 A^3/atom
Energy   -4.60 eV per atom
Space group   No. 139

a = 4.392 Å, b = 4.392 Å, c = 6.008 Å
α = 111.44°, β = 111.44°, γ = 90.00°
Positions (direct):
Pb: 0.000 0.000 0.000
Y: 0.500 0.500 0.000
In: 0.250 0.750 0.500
In: 0.750 0.250 0.500

No. 6
Here is a relaxed Y2In2Pb crystal from Alexandria via LeMat-Bulk. Energies are from PBEsol.

DFT formation energy   -0.235 eV per atom
Crystal system   tetragonal
V   28.10 A^3/atom
Energy   -4.96 eV per atom
Space group   No. 139

a = 3.985 Å, b = 3.985 Å, c = 9.285 Å
α = 102.39°, β = 102.39°, γ = 90.00°
Positions (direct):
Pb: 0.000 0.000 0.000
Y: 0.398 0.398 0.796
Y: 0.602 0.602 0.204
In: 0.250 0.750 0.500
In: 0.750 0.250 0.500

No. 7
Here is a relaxed Y2In3Pb3 crystal from Alexandria via LeMat-Bulk. Energies are from PBEsol.

DFT formation energy   -0.405 eV per atom
Crystal system   orthorhombic
V   25.60 A^3/atom
Energy   -4.73 eV per atom
Space group   No. 47

a = 4.640 Å, b = 4.825 Å, c = 9.147 Å
α = 90.00°, β = 90.00°, γ = 90.00°
Positions (direct):
Y: 0.000 0.000 0.252
Y: 0.000 0.000 0.748
In: 0.500 0.500 0.257
In: 0.500 0.500 0.743
In: 0.000 0.500 0.500
Pb: 0.000 0.500 0.000
Pb: 0.500 0.000 0.500
Pb: 0.500 0.000 0.000

No. 8
Here is a relaxed YInPb2 crystal from Alexandria via LeMat-Bulk. Energies are from PBEsol.

DFT formation energy   -0.344 eV per atom
Crystal system   tetragonal
V   26.23 A^3/atom
Energy   -4.79 eV per atom
Space group   No. 119

a = 4.525 Å, b = 4.525 Å, c = 6.040 Å
α = 112.00°, β = 112.00°, γ = 90.00°
Positions (direct):
Pb: 0.000 0.000 0.000
Pb: 0.750 0.250 0.500
Y: 0.500 0.500 0.000
In: 0.250 0.750 0.500

No. 9
Here is a relaxed YInPb2 crystal from Alexandria via LeMat-Bulk. Energies are from PBEsol.

DFT formation energy   -0.296 eV per atom
Crystal system   orthorhombic
V   26.93 A^3/atom
Energy   -4.75 eV per atom
Space group   No. 65

a = 3.555 Å, b = 5.591 Å, c = 5.591 Å
α = 104.23°, β = 90.00°, γ = 90.00°
Positions (direct):
Pb: 0.000 0.500 0.000
Pb: 0.000 0.000 0.500
Y: 0.500 0.000 0.000
In: 0.500 0.500 0.500

No. 10
Here is a relaxed Y2InPb2 crystal from Alexandria via LeMat-Bulk. Energies are from PBEsol.

DFT formation energy   -0.437 eV per atom
Crystal system   tetragonal
V   27.34 A^3/atom
Energy   -5.36 eV per atom
Space group   No. 127

a = 4.374 Å, b = 7.906 Å, c = 7.906 Å
α = 90.00°, β = 90.00°, γ = 90.00°
Positions (direct):
Pb: 0.000 0.365 0.865
Pb: 0.000 0.865 0.635
Pb: 0.000 0.635 0.135
Pb: 0.000 0.135 0.365
Y: 0.500 0.172 0.672
Y: 0.500 0.672 0.828
Y: 0.500 0.828 0.328
Y: 0.500 0.328 0.172
In: 0.000 0.000 0.000
In: 0.000 0.500 0.500

No. 11
Here is a relaxed YIn2Pb crystal from Alexandria via LeMat-Bulk. Energies are from PBEsol.

DFT formation energy   -0.428 eV per atom
Crystal system   tetragonal
V   24.92 A^3/atom
Energy   -4.62 eV per atom
Space group   No. 123

a = 4.520 Å, b = 4.520 Å, c = 4.878 Å
α = 90.00°, β = 90.00°, γ = 90.00°
Positions (direct):
Pb: 0.500 0.500 0.500
Y: 0.000 0.000 0.500
In: 0.000 0.500 0.000
In: 0.500 0.000 0.000

No. 12
Here is a relaxed Zn2InPb2 crystal from Alexandria via LeMat-Bulk. Energies are from PBEsol.

DFT formation energy   0.117 eV per atom
Crystal system   tetragonal
V   24.09 A^3/atom
Energy   -2.71 eV per atom
Energy above the most stable polymorph in this dataset   15.0 meV per atom
Space group   No. 139

a = 3.591 Å, b = 3.591 Å, c = 9.682 Å
α = 100.69°, β = 100.69°, γ = 90.00°
Positions (direct):
Pb: 0.381 0.381 0.761
Pb: 0.619 0.619 0.239
Zn: 0.250 0.750 0.500
Zn: 0.750 0.250 0.500
In: 0.000 0.000 0.000

No. 13
Here is a relaxed Zn2InPb2 crystal from Alexandria via LeMat-Bulk. Energies are from PBEsol.

DFT formation energy   0.202 eV per atom
Crystal system   tetragonal
V   25.02 A^3/atom
Energy   -2.63 eV per atom
Energy above the most stable polymorph in this dataset   99.8 meV per atom
Space group   No. 139

a = 4.593 Å, b = 4.593 Å, c = 6.762 Å
α = 109.85°, β = 109.85°, γ = 90.00°
Positions (direct):
Pb: 0.250 0.750 0.500
Pb: 0.750 0.250 0.500
Zn: 0.401 0.401 0.801
Zn: 0.599 0.599 0.199
In: 0.000 0.000 0.000

No. 14
Here is a relaxed ZnIn2Pb crystal from Alexandria via LeMat-Bulk. Energies are from PBEsol.

DFT formation energy   0.076 eV per atom
Crystal system   tetragonal
V   23.91 A^3/atom
Energy   -2.81 eV per atom
Space group   No. 123

a = 3.362 Å, b = 3.362 Å, c = 8.463 Å
α = 90.00°, β = 90.00°, γ = 90.00°
Positions (direct):
Pb: 0.500 0.500 0.000
Zn: 0.500 0.500 0.500
In: 0.000 0.000 0.711
In: 0.000 0.000 0.289

No. 15
Here is a relaxed Zn2InPb crystal from Alexandria via LeMat-Bulk. Energies are from PBEsol.

DFT formation energy   0.100 eV per atom
Crystal system   monoclinic
V   21.36 A^3/atom
Energy   -2.44 eV per atom
Energy above the most stable polymorph in this dataset   0.0 meV per atom
Space group   No. 6

a = 4.029 Å, b = 4.172 Å, c = 5.468 Å
α = 90.00°, β = 111.65°, γ = 90.00°
Positions (direct):
Pb: 0.601 0.500 0.826
Zn: 0.181 0.000 0.982
Zn: 0.323 0.500 0.273
In: 0.896 0.000 0.419

No. 16
Here is a relaxed ZnIn2Pb crystal from Alexandria via LeMat-Bulk. Energies are from PBEsol.

DFT formation energy   0.113 eV per atom
Crystal system   orthorhombic
V   24.29 A^3/atom
Energy   -2.77 eV per atom
Space group   No. 44

a = 3.577 Å, b = 5.293 Å, c = 6.043 Å
α = 115.97°, β = 107.22°, γ = 90.00°
Positions (direct):
In: 0.973 0.973 0.946
In: 0.744 0.244 0.487
Pb: 0.525 0.525 0.050
Zn: 0.258 0.758 0.516

No. 17
Here is a relaxed Zn2InPb crystal from Alexandria via LeMat-Bulk. Energies are from PBEsol.

DFT formation energy   0.147 eV per atom
Crystal system   trigonal
V   21.92 A^3/atom
Energy   -2.39 eV per atom
Energy above the most stable polymorph in this dataset   46.9 meV per atom
Space group   No. 160

a = 3.367 Å, b = 3.367 Å, c = 9.137 Å
α = 79.38°, β = 79.38°, γ = 60.00°
Positions (direct):
In: 0.489 0.489 0.534
Pb: 0.258 0.258 0.227
Zn: 0.012 0.012 0.965
Zn: 0.742 0.742 0.775

No. 18
Here is a relaxed Zn2InPb crystal from Alexandria via LeMat-Bulk. Energies are from PBEsol.

DFT formation energy   0.182 eV per atom
Crystal system   orthorhombic
V   21.49 A^3/atom
Energy   -2.35 eV per atom
Energy above the most stable polymorph in this dataset   81.4 meV per atom
Space group   No. 71

a = 4.363 Å, b = 5.002 Å, c = 5.151 Å
α = 119.05°, β = 115.06°, γ = 90.00°
Positions (direct):
In: 0.500 0.000 0.000
Pb: 0.000 0.500 0.000
Zn: 0.759 0.759 0.518
Zn: 0.241 0.241 0.482

No. 19
Here is a relaxed Zn2In2Pb crystal from Alexandria via LeMat-Bulk. Energies are from PBEsol.

DFT formation energy   0.134 eV per atom
Crystal system   tetragonal
V   22.65 A^3/atom
Energy   -2.49 eV per atom
Energy above the most stable polymorph in this dataset   36.8 meV per atom
Space group   No. 139

a = 4.257 Å, b = 4.257 Å, c = 6.938 Å
α = 107.87°, β = 107.87°, γ = 90.00°
Positions (direct):
Pb: 0.000 0.000 0.000
Zn: 0.250 0.750 0.500
Zn: 0.750 0.250 0.500
In: 0.386 0.386 0.773
In: 0.614 0.614 0.227

No. 20
Here is a relaxed Zn2InPb crystal from Alexandria via LeMat-Bulk. Energies are from PBEsol.

DFT formation energy   0.163 eV per atom
Crystal system   orthorhombic
V   21.51 A^3/atom
Energy   -2.37 eV per atom
Energy above the most stable polymorph in this dataset   62.6 meV per atom
Space group   No. 44

a = 3.402 Å, b = 4.986 Å, c = 5.903 Å
α = 114.98°, β = 106.75°, γ = 90.00°
Positions (direct):
In: 0.480 0.480 0.960
Pb: 0.267 0.767 0.534
Zn: 0.029 0.029 0.058
Zn: 0.724 0.224 0.448

Result set for density of states at the Fermi level: 2.07, 3.12, 2.88, 2.10, 1.61, 4.94, 3.36, 1.66, 2.51, 2.55, 1.89, 2.13, 1.90, 2.01, 1.48, 1.78, 1.64, 1.53, 1.52, 1.75 states/eV/f.u., one per record in the order listed.